Entry 1:
The following is a PBE-GGA calculation of an optimized crystal structure of Ac8Co3PdBr4, from Alexandria via LeMat-Bulk.

It has space group C2/m (No. 12), with a = 14.8621 Å, b = 8.5780 Å, c = 9.6293 Å, α = 90.00°, β = 121.02° and γ = 90.00°. The asymmetric unit holds Ac at (0.0222, 0.2401, 0.3075), Ac at (0.2308, 0.0000, 0.6918), Ac at (0.2375, 0.5000, 0.6923), Co at (0.0000, 0.0000, 0.5000), Co at (0.2500, 0.2500, 0.5000), Pd at (0.0000, 0.5000, 0.5000), Br at (0.0000, 0.0000, 0.0000), Br at (0.0000, 0.5000, 0.0000) and Br at (0.2500, 0.2500, 0.0000).

Its density is 7.64 g/cm3. For the uncorrected formation energy, the calculation gives -0.85 eV per atom.


Entry 2:
The following is a PBE-GGA calculation of an optimized crystal structure of InHg2Cl, from Alexandria via LeMat-Bulk.

It has space group Cmmm (No. 65), with a = 5.9790 Å, b = 10.1495 Å, c = 3.7882 Å, α = 90.00°, β = 90.00° and γ = 90.00°. The asymmetric unit holds In at (0.0000, 0.0000, 0.0000), Hg at (0.2500, 0.2500, 0.5000) and Cl at (0.0000, 0.5000, 0.0000).

The value obtained for the energy above the most stable polymorph in this dataset is 0.127 eV per atom. Its density is 7.97 g/cm3. For the uncorrected formation energy, the calculation gives -0.27 eV per atom.


Entry 3:
The following is a PBE-GGA calculation of an optimized crystal structure of Tb2NdHf, from Alexandria via LeMat-Bulk.

It has space group P4/mmm (No. 123), with a = 4.0041 Å, b = 4.0041 Å, c = 7.4790 Å, α = 90.00°, β = 90.00° and γ = 90.00°. The asymmetric unit holds Tb at (0.0000, 0.0000, 0.2156), Nd at (0.5000, 0.5000, 0.5000) and Hf at (0.5000, 0.5000, 0.0000).

The value obtained for the energy above the most stable polymorph in this dataset is 0.104 eV per atom. As for the formation energy: 228 meV/atom. Its density is 8.87 g/cm3.